1 | An optimized crystal structure of CaAcCu2, computed with GGA-PBE.

a = 5.216 Å, b = 5.216 Å, c = 5.216 Å
α = 60.00°, β = 60.00°, γ = 60.00°
Atoms (fractional coordinates):
Ca 0.000 0.000 0.000
Ac 0.500 0.500 0.500
Cu 0.250 0.250 0.250
Cu 0.750 0.750 0.750

Results
Calculated volume, Å³/cell: 100
Space-group type: Fm-3m (225)

2 | An optimized crystal structure of CaAcCu2, computed with GGA-PBE.

a = 4.417 Å, b = 6.056 Å, c = 6.056 Å
α = 40.47°, β = 90.00°, γ = 90.00°
Atoms (fractional coordinates):
Ca 0.000 0.000 0.000
Ac 0.500 0.721 0.721
Cu 0.000 0.306 0.306
Cu 0.500 0.429 0.429

Results
Calculated volume, Å³/cell: 105
Space-group type: Amm2 (38)

3 | An optimized crystal structure of CaAcCu2, computed with GGA-PBE.

a = 5.225 Å, b = 5.225 Å, c = 3.678 Å
α = 90.00°, β = 90.00°, γ = 90.00°
Atoms (fractional coordinates):
Ca 0.000 0.000 0.000
Ac 0.500 0.500 0.000
Cu 0.000 0.500 0.500
Cu 0.500 0.000 0.500

Results
Calculated volume, Å³/cell: 100
Space-group type: P4/mmm (123)

Most stable structure among those shown: 2. Next: +4.3 kJ/mol of atoms.